Sn2Pd7Pt | GGA-PBE | relaxed

a b c (Å): 3.827 8.092 8.092
angles (deg): 125.51 90.00 90.00
Atoms (fractional coordinates):
Pd: 0.500 0.500 0.500
Pd: 0.000 0.191 0.809
Pt: 0.000 0.000 0.000
Pd: 0.500 0.090 0.287
Sn: 0.500 0.687 0.313
Pd: 0.000 0.809 0.191
Pd: 0.500 0.910 0.713
Sn: 0.500 0.313 0.687
Pd: 0.500 0.713 0.910
Pd: 0.500 0.287 0.090

Properties
Energy of formation from the pure elements in eV/atom: 0.0665
Space-group type: No. 65

***

NbTl2Te | GGA-PBE | relaxed

a b c (Å): 4.292 4.292 12.167
angles (deg): 79.84 79.84 90.00
Atoms (fractional coordinates):
Tl: 0.130 0.625 0.250
Tl: 0.620 0.125 0.250
Tl: 0.875 0.870 0.750
Nb: 0.250 0.750 0.500
Nb: 0.500 0.500 0.000
Te: 0.750 0.250 0.500
Tl: 0.375 0.380 0.750
Te: 0.000 0.000 0.000

Properties
Space-group type: No. 122
Uncorrected formation energy in eV/atom: 0.46

***

no.,total energy (eV/atom)
1,-4.97
2,-4.03